[1]
DFT (PBE) results for TbPmGa2 after structural relaxation. Values from VASP.

space group = Pm

```
&SYSTEM
  ibrav = 0, nat = 4, ntyp = 3
/
ATOMIC_SPECIES
Ga 69.72 Ga.upf
Tb 158.93 Tb.upf
Pm 145.00 Pm.upf
ATOMIC_POSITIONS crystal
Ga 0.011 0.000 0.558
Ga 0.157 0.500 0.856
Tb 0.720 0.000 0.981
Pm 0.443 0.500 0.423
CELL_PARAMETERS angstrom
-0.651 4.372 -0.042
-1.630 -0.207 3.764
5.354 -1.411 2.241
```


[2]
DFT (PBE) results for Sm3Ho6Er2Sc after structural relaxation. Values from VASP.

space group = C2/m

```
&SYSTEM
  ibrav = 0, nat = 12, ntyp = 4
/
ATOMIC_SPECIES
Ho 164.93 Ho.upf
Sm 150.36 Sm.upf
Er 167.26 Er.upf
Sc 44.96 Sc.upf
ATOMIC_POSITIONS crystal
Ho 0.412 0.081 0.244
Ho 0.081 0.412 0.244
Ho 0.919 0.588 0.756
Ho 0.250 0.250 0.755
Ho 0.588 0.919 0.756
Ho 0.750 0.750 0.245
Sm 0.167 0.833 0.500
Sm 0.500 0.500 0.500
Sm 0.833 0.167 0.500
Er 0.334 0.666 0.000
Er 0.666 0.334 0.000
Sc 0.000 0.000 0.000
CELL_PARAMETERS angstrom
6.111 0.001 -0.005
-3.053 5.293 -0.005
-1.009 -1.747 11.500
```


[3]
DFT (PBE) results for CsSnBr2Cl after structural relaxation. Values from VASP.

ΔE_f (raw) = -1296.9 meV per atom
space group = I4cm

```
&SYSTEM
  ibrav = 0, nat = 10, ntyp = 4
/
ATOMIC_SPECIES
Br 79.90 Br.upf
Sn 118.71 Sn.upf
Cl 35.45 Cl.upf
Cs 132.91 Cs.upf
ATOMIC_POSITIONS crystal
Br 0.218 0.286 0.004
Br 0.786 0.718 0.004
Br 0.286 0.786 0.004
Br 0.718 0.218 0.004
Sn 0.507 0.507 0.014
Sn 0.007 0.007 0.014
Cl 0.738 0.738 0.476
Cl 0.238 0.238 0.476
Cs 0.751 0.251 0.503
Cs 0.251 0.751 0.503
CELL_PARAMETERS angstrom
-7.751 0.602 2.951
2.708 -2.178 7.555
3.427 6.277 -3.995
```


[4]
DFT (PBE) results for KNa12Sn4 after structural relaxation. Values from VASP.

space group = Im-3

```
&SYSTEM
  ibrav = 0, nat = 17, ntyp = 3
/
ATOMIC_SPECIES
Sn 118.71 Sn.upf
Na 22.99 Na.upf
K 39.10 K.upf
ATOMIC_POSITIONS crystal
Sn 0.000 0.500 0.000
Sn 0.500 0.500 0.500
Sn 0.500 0.000 0.000
Sn 0.000 0.000 0.500
Na 0.188 0.325 0.513
Na 0.675 0.487 0.812
Na 0.513 0.188 0.325
Na 0.137 0.812 0.325
Na 0.188 0.675 0.863
Na 0.325 0.513 0.188
Na 0.487 0.812 0.675
Na 0.675 0.863 0.188
Na 0.812 0.675 0.487
Na 0.812 0.325 0.137
Na 0.325 0.137 0.812
Na 0.863 0.188 0.675
K 0.000 0.000 0.000
CELL_PARAMETERS angstrom
-8.617 -1.170 4.580
2.159 -8.151 -5.050
7.039 1.698 6.646
```


[5]
DFT (PBE) results for AlTl2PdF6 after structural relaxation. Values from VASP.

ΔE_f (raw) = -2229.6 meV per atom
space group = Immm

```
&SYSTEM
  ibrav = 0, nat = 20, ntyp = 4
/
ATOMIC_SPECIES
F 19.00 F.upf
Tl 204.38 Tl.upf
Al 26.98 Al.upf
Pd 106.42 Pd.upf
ATOMIC_POSITIONS crystal
F 0.291 0.049 0.500
F 0.000 0.750 0.770
F 0.500 0.250 0.270
F 0.709 0.049 0.500
F 0.209 0.548 0.000
F 0.791 0.548 0.000
F 0.209 0.951 0.000
F 0.291 0.452 0.500
F 0.791 0.951 0.000
F 0.000 0.750 0.230
F 0.709 0.452 0.500
F 0.500 0.250 0.730
Tl 0.500 0.750 0.252
Tl 0.000 0.250 0.752
Tl 0.000 0.250 0.248
Tl 0.500 0.750 0.748
Al 0.500 0.250 0.500
Al 0.000 0.750 0.000
Pd 0.000 0.750 0.500
Pd 0.500 0.250 0.000
CELL_PARAMETERS angstrom
6.212 0.000 0.000
0.000 6.397 0.000
0.000 0.000 8.095
```


[6]
DFT (PBE) results for Tl2FeSn after structural relaxation. Values from VASP.

space group = Fm-3m

```
&SYSTEM
  ibrav = 0, nat = 4, ntyp = 3
/
ATOMIC_SPECIES
Tl 204.38 Tl.upf
Sn 118.71 Sn.upf
Fe 55.84 Fe.upf
ATOMIC_POSITIONS crystal
Tl 0.750 0.750 0.750
Tl 0.250 0.250 0.250
Sn 0.500 0.500 0.500
Fe 0.000 0.000 0.000
CELL_PARAMETERS angstrom
-4.819 -1.757 0.573
-3.419 2.700 2.766
-3.916 2.392 -2.361
```


[7]
DFT (PBE) results for SrAlSe after structural relaxation. Values from VASP.

ΔE_f (raw) = -250.6 meV per atom
space group = F-43m

```
&SYSTEM
  ibrav = 0, nat = 3, ntyp = 3
/
ATOMIC_SPECIES
Sr 87.62 Sr.upf
Se 78.96 Se.upf
Al 26.98 Al.upf
ATOMIC_POSITIONS crystal
Sr 0.250 0.250 0.250
Se 0.500 0.500 0.500
Al 0.000 0.000 0.000
CELL_PARAMETERS angstrom
5.203 0.000 0.000
2.602 4.506 0.000
2.602 1.502 4.248
```


| no. | volume (A^3/atom) | DFT total energy (eV/atom) | magnetization (μB per cell) |
| --- | --- | --- | --- |
| 1 | 25.2 | -4.47 | 0.00 |
| 2 | 31.0 | -4.73 | 0.00 |
| 3 | 39.4 | -3.31 | 0.00 |
| 4 | 43.0 | -1.90 | 0.00 |
| 5 | 16.1 | -4.72 | 2.00 |
| 6 | 24.3 | -3.68 | 3.07 |
| 7 | 33.2 | -3.22 | 0.20 |